(1)
The following is a DFT calculation (PBE) of crystalline Sm4TmAu5 at its relaxed geometry.

Cell and atoms, written as POSCAR:
```
Sm4TmAu5
1.0
3.6205 0.0000 0.0000
0.0000 3.6205 0.0000
0.0000 0.0000 18.5351
Au Sm Tm
5 4 1
Direct
0.5000 0.5000 0.5000
0.5000 0.5000 0.9086
0.5000 0.5000 0.0914
0.5000 0.5000 0.7024
0.5000 0.5000 0.2976
0.0000 0.0000 0.1964
0.0000 0.0000 0.6010
0.0000 0.0000 0.8036
0.0000 0.0000 0.3990
0.0000 0.0000 0.0000
```

Values from the calculation:
Space-group type ... P4/mmm
V ... 243.0 Å³ per cell
ΔE_f ... -0.817 eV per atom


(2)
The following is a DFT calculation (PBE) of crystalline SmTm2Au at its relaxed geometry.

Cell and atoms, written as POSCAR:
```
SmTm2Au
1.0
-2.2844 2.6633 -0.7549
-2.4873 -1.5452 2.0754
2.8734 4.3613 6.6910
Sm Tm Au
1 2 1
Direct
0.5000 0.5000 0.5000
0.0000 0.0000 0.7980
0.0000 0.0000 0.2020
0.5000 0.5000 0.0000
```

Values from the calculation:
Space-group type ... P4/mmm
Energy above the most stable polymorph in this dataset ... 8 meV per atom
V ... 109.3 Å³ per cell
ΔE_f ... -0.416 eV per atom


(3)
The following is a DFT calculation (PBE) of crystalline SmTm4Au5 at its relaxed geometry.

Cell and atoms, written as POSCAR:
```
SmTm4Au5
1.0
-0.7055 1.0912 -3.2974
-2.2172 -2.7315 -0.4295
-13.7125 10.1414 6.2899
Tm Au Sm
4 5 1
Direct
0.0000 0.0000 0.7960
0.0000 0.0000 0.2040
0.0000 0.0000 0.5987
0.0000 0.0000 0.4013
0.5000 0.5000 0.1102
0.5000 0.5000 0.3029
0.5000 0.5000 0.5000
0.5000 0.5000 0.8898
0.5000 0.5000 0.6971
0.0000 0.0000 0.0000
```

Values from the calculation:
Space-group type ... P4/mmm
V ... 228.3 Å³ per cell
ΔE_f ... -0.875 eV per atom


(4)
The following is a DFT calculation (PBE) of crystalline Sm2TmAu2 at its relaxed geometry.

Cell and atoms, written as POSCAR:
```
Sm2TmAu2
1.0
3.8599 0.0000 0.0000
0.0000 8.2423 0.0000
0.0000 0.0000 8.2423
Sm Au Tm
4 4 2
Direct
0.5000 0.3342 0.1658
0.5000 0.8342 0.3342
0.5000 0.1658 0.6659
0.5000 0.6659 0.8342
0.0000 0.1318 0.3682
0.0000 0.6318 0.1318
0.0000 0.3682 0.8682
0.0000 0.8682 0.6318
0.0000 0.5000 0.5000
0.0000 0.0000 0.0000
```

Values from the calculation:
Space-group type ... P4/mbm
Energy above the most stable polymorph in this dataset ... 0 meV per atom
V ... 262.2 Å³ per cell
ΔE_f ... -0.672 eV per atom


(5)
The following is a DFT calculation (PBE) of crystalline SmTmAu2 at its relaxed geometry.

Cell and atoms, written as POSCAR:
```
SmTmAu2
1.0
3.5123 0.0000 -1.2784
0.0000 4.7107 0.0000
0.1376 0.0000 5.8361
Tm Sm Au
1 1 2
Direct
0.7202 0.0000 0.9802
0.4433 0.5000 0.4249
0.9956 0.0000 0.5303
0.1719 0.5000 0.8826
```

Values from the calculation:
Space-group type ... Amm2
V ... 97.4 Å³ per cell
ΔE_f ... -0.857 eV per atom


(6)
The following is a DFT calculation (PBE) of crystalline Sm3Tm3Au4 at its relaxed geometry.

Cell and atoms, written as POSCAR:
```
Sm3Tm3Au4
1.0
3.8323 0.0000 0.0000
0.0000 8.1989 0.0565
0.0000 0.1286 8.1981
Sm Au Tm
3 4 3
Direct
0.5000 0.6611 0.6696
0.5000 0.3304 0.3389
0.5000 0.8392 0.1608
0.0000 0.3616 0.6384
0.0000 0.1378 0.1230
0.0000 0.6314 0.3686
0.0000 0.8770 0.8622
0.0000 0.9966 0.5024
0.0000 0.4976 0.0034
0.5000 0.1673 0.8327
```

Values from the calculation:
Space-group type ... Amm2
V ... 257.6 Å³ per cell
ΔE_f ... -0.684 eV per atom